Entry 1:
DFT (PBE) results for a relaxed structure of Y2B2H.

The structure in extended XYZ format:
```
5
Lattice="-1.6373 1.6373 7.2570 1.6373 -1.6373 7.2570 1.6373 1.6373 -7.2570" Properties=species:S:1:pos:R:3 pbc="T T T"
Y 0.0000 0.0000 1.7075
Y 0.0000 0.0000 12.8065
B 1.6373 0.0000 3.6285
B 0.0000 1.6373 3.6285
H 0.0000 0.0000 7.2570
```

Results
DOS at the Fermi energy: 0.500 states/eV/atom
crystal system: tetragonal
total DFT energy (no corrections): -5.397 eV/atom

Entry 2:
DFT (PBE) results for a relaxed structure of Y2BH.

The structure in extended XYZ format:
```
8
Lattice="-2.5547 2.5547 6.1501 2.5547 -2.5547 6.1501 2.5547 2.5547 -6.1501" Properties=species:S:1:pos:R:3 pbc="T T T"
Y 3.8320 1.2125 -1.5375
Y 1.2125 1.2773 1.5375
Y -1.2773 1.3422 4.6126
Y 1.3422 1.2773 7.6876
B 2.5547 0.0000 3.0750
B 0.0000 0.0000 6.1501
H 0.0000 0.0000 0.0000
H 0.0000 2.5547 3.0750
```

Results
DOS at the Fermi energy: 0.340 states/eV/atom
crystal system: tetragonal
total DFT energy (no corrections): -5.732 eV/atom

Entry 3:
DFT (PBE) results for a relaxed structure of YBH2.

The structure in extended XYZ format:
```
8
Lattice="-1.9362 1.9362 5.0128 1.9362 -1.9362 5.0128 1.9362 1.9362 -5.0128" Properties=species:S:1:pos:R:3 pbc="T T T"
Y 1.9362 0.9681 1.2532
Y 0.0000 0.9681 3.7596
B 1.9362 -0.9681 3.7596
B 0.0000 2.9044 1.2532
H 0.0000 0.0000 0.0000
H 0.9681 0.9681 -2.5064
H 0.9681 -0.9681 2.5064
H 0.0000 1.9362 0.0000
```

Results
DOS at the Fermi energy: 0.141 states/eV/atom
crystal system: tetragonal
total DFT energy (no corrections): -4.805 eV/atom

Entry 4:
DFT (PBE) results for a relaxed structure of YB3H.

The structure in extended XYZ format:
```
5
Lattice="3.6717 0.0000 0.0000 0.0000 3.6717 0.0000 0.0000 0.0000 3.6717" Properties=species:S:1:pos:R:3 pbc="T T T"
Y 0.0000 0.0000 0.0000
B 0.0000 1.8359 1.8359
B 1.8359 0.0000 1.8359
B 1.8359 1.8359 0.0000
H 1.8359 1.8359 1.8359
```

Results
DOS at the Fermi energy: 0.257 states/eV/atom
crystal system: cubic
total DFT energy (no corrections): -4.936 eV/atom